First-principles (PBE with a Hubbard U) data for crystalline LiMn5O8 at its relaxed geometry, as listed in Alexandria.

Structure (POSCAR):
```
LiMn5O8
1.0
0.0000 4.2903 4.2903
4.2903 0.0000 4.2903
4.2903 4.2903 0.0000
Li Mn O
1 5 8
Direct
0.0000 0.0000 0.0000
0.3730 0.3730 0.3730
0.3730 0.3730 0.8811
0.3730 0.8811 0.3730
0.7500 0.7500 0.7500
0.8811 0.3730 0.3730
0.1375 0.1375 0.1375
0.1375 0.1375 0.5876
0.1375 0.5876 0.1375
0.1655 0.6115 0.6115
0.5876 0.1375 0.1375
0.6115 0.1655 0.6115
0.6115 0.6115 0.1655
0.6115 0.6115 0.6115
```

energy relative to the lowest polymorph listed for this composition	0.36	eV/f.u.
magnetization	20.0	μB per formula unit
D(E_F)	8.6	states/eV per cell